Material: Pr6AlAg3
Method: DFT, PBE
State: optimized geometry

Cell: 5.240 9.546 11.928 Å, 104.09 90.00 90.00°
Sites, in units of the cell vectors:
Al1 0.250 0.951 0.625
Al2 0.750 0.049 0.375
Pr1 0.250 0.117 0.163
Pr2 0.750 0.752 0.511
Pr3 0.250 0.651 0.693
Pr4 0.250 0.854 0.344
Pr5 0.250 0.507 0.108
Pr6 0.750 0.349 0.307
Pr7 0.750 0.883 0.837
Pr8 0.750 0.493 0.892
Pr9 0.250 0.248 0.489
Pr10 0.250 0.133 0.887
Pr11 0.750 0.146 0.656
Pr12 0.750 0.867 0.113
Ag1 0.750 0.228 0.033
Ag2 0.250 0.772 0.967
Ag3 0.750 0.639 0.246
Ag4 0.250 0.534 0.382
Ag5 0.250 0.361 0.754
Ag6 0.750 0.466 0.618

## Properties
The value obtained for the energy is -4.272 eV per atom. For the volume, the calculation gives 28.932 Å³ per atom. The density of states at the Fermi level comes out at 19.50 states/eV/cell. Its density is 6.86 g cm⁻³.


Material: Pr2Al6Ag9
Method: DFT, PBE
State: optimized geometry

Cell: 5.746 5.746 12.725 Å, 90.00 90.00 120.00°
Sites, in units of the cell vectors:
Al1 0.333 0.667 0.000
Al2 0.667 0.333 0.664
Al3 0.333 0.667 0.336
Al4 0.667 0.333 0.336
Al5 0.333 0.667 0.664
Al6 0.667 0.333 0.000
Pr1 0.000 0.000 0.670
Pr2 0.000 0.000 0.330
Ag1 0.500 0.500 0.833
Ag2 0.000 0.500 0.167
Ag3 0.500 0.000 0.500
Ag4 0.000 0.500 0.833
Ag5 0.500 0.000 0.167
Ag6 0.500 0.500 0.500
Ag7 0.500 0.500 0.167
Ag8 0.500 0.000 0.833
Ag9 0.000 0.500 0.500

## Properties
The value obtained for the energy is -3.502 eV per atom. For the volume, the calculation gives 21.401 Å³ per atom. The density of states at the Fermi level comes out at 7.37 states/eV/cell. Its density is 6.46 g cm⁻³.